No. 1
DFT (PBE-GGA) results for a relaxed Zr2TiTe crystal.

The density of states at the Fermi level comes out at 0.746 states/eV/atom. The formation energy (no corrections) comes out at -142 meV/atom.

abc: 3.4347 3.4347 26.7700
angles: 90.00 90.00 120.00
Space group R-3m (No. 166, hexagonal axes)
Inequivalent atoms, fractional coordinates:
Zr (0.0000, 0.0000, 0.2487) (multiplicity 6)
Ti (0.0000, 0.0000, 0.0000) (multiplicity 3)
Te (0.0000, 0.0000, 0.5000) (multiplicity 3)


No. 2
DFT (PBE-GGA) results for a relaxed Zr2TiTe crystal.

The density of states at the Fermi level comes out at 0.690 states/eV/atom. The formation energy (no corrections) comes out at -162 meV/atom.

abc: 3.4411 3.4411 26.6084
angles: 90.00 90.00 120.00
Space group R3m (No. 160, hexagonal axes)
Inequivalent atoms, fractional coordinates:
Zr (0.0000, 0.0000, 0.0000) (multiplicity 3)
Zr (0.0000, 0.0000, 0.1673) (multiplicity 3)
Ti (0.0000, 0.0000, 0.7509) (multiplicity 3)
Te (0.0000, 0.0000, 0.5830) (multiplicity 3)